*A*
Material: Sr2V2Re
Method: DFT, GGA-PBE
State: optimized geometry

a b c (Å): 8.706 8.706 3.107
angles (deg): 90.00 90.00 90.00
Last column: magnetic moment on the atom in μB.
Element x y z (fractional)
Re 0.000 0.000 0.000  1.34
Re 0.500 0.500 0.000  1.34
Sr 0.369 0.869 0.000  -0.13
Sr 0.869 0.631 0.000  -0.13
Sr 0.631 0.131 0.000  -0.13
Sr 0.131 0.369 0.000  -0.13
V 0.179 0.679 0.500  -2.62
V 0.679 0.821 0.500  -2.62
V 0.821 0.321 0.500  -2.62
V 0.321 0.179 0.500  -2.62

## Properties
- Volume: 235.46 Å³/cell
- Magnetization: 10.50 μB per cell

=====

*B*
Material: Sr2V2Re
Method: DFT, GGA-PBE
State: optimized geometry

a b c (Å): 3.294 3.294 11.137
angles (deg): 81.49 81.49 90.00
Last column: magnetic moment on the atom in μB.
Element x y z (fractional)
Re 0.000 0.000 0.000  0.85
Sr 0.397 0.397 0.205  -0.01
Sr 0.603 0.603 0.795  -0.01
V 0.750 0.250 0.500  -0.01
V 0.250 0.750 0.500  -0.01

## Properties
- Volume: 118.19 Å³/cell
- Magnetization: 0.92 μB per cell

=====

Stability summary: most stable *B*, least stable *A*.

=====

*A*
Material: SrY2Re
Method: DFT, GGA-PBE
State: optimized geometry

a b c (Å): 4.905 4.907 4.375
angles (deg): 90.00 90.00 90.00
Element x y z (fractional)
Re 0.500 0.000 0.500
Sr 0.000 0.500 0.500
Y 0.000 0.000 0.000
Y 0.500 0.500 0.000

## Properties
- Volume: 105.29 Å³/cell
- Magnetization: 0.00 μB per cell

=====

*B*
Material: SrY2Re
Method: DFT, GGA-PBE
State: optimized geometry

a b c (Å): 5.661 5.661 6.698
angles (deg): 63.81 63.81 41.66
Element x y z (fractional)
Re 0.497 0.497 0.665
Sr 0.190 0.190 0.265
Y 0.005 0.005 0.936
Y 0.809 0.809 0.635

## Properties
- Volume: 125.77 Å³/cell
- Magnetization: 0.00 μB per cell

=====

Stability summary: most stable *B*, least stable *A*.

=====

*A*
Material: Sr2Y2Re
Method: DFT, GGA-PBE
State: optimized geometry

a b c (Å): 7.614 7.614 5.571
angles (deg): 90.00 90.00 90.00
Last column: magnetic moment on the atom in μB.
Element x y z (fractional)
Y 0.182 0.682 0.500  -0.01
Y 0.682 0.818 0.500  -0.01
Y 0.818 0.318 0.500  -0.01
Y 0.318 0.182 0.500  -0.01
Re 0.000 0.000 0.000  1.52
Re 0.500 0.500 0.000  1.53
Sr 0.353 0.853 0.000  0.04
Sr 0.853 0.647 0.000  0.04
Sr 0.647 0.147 0.000  0.04
Sr 0.147 0.353 0.000  0.04

## Properties
- Volume: 322.99 Å³/cell
- Magnetization: 3.71 μB per cell

=====

*B*
Material: Sr2Y2Re
Method: DFT, GGA-PBE
State: optimized geometry

a b c (Å): 4.069 4.069 9.850
angles (deg): 78.08 78.08 90.00
Element x y z (fractional)
Y 0.421 0.421 0.158
Y 0.579 0.579 0.842
Re 0.000 0.000 0.000
Sr 0.750 0.250 0.500
Sr 0.250 0.750 0.500

## Properties
- Volume: 155.95 Å³/cell
- Magnetization: 0.00 μB per cell

=====

*C*
Material: Sr2Y2Re
Method: DFT, GGA-PBE
State: optimized geometry

a b c (Å): 4.253 4.253 10.647
angles (deg): 78.48 78.48 90.00
Last column: magnetic moment on the atom in μB.
Element x y z (fractional)
Y 0.750 0.250 0.500  0.01
Y 0.250 0.750 0.500  0.01
Re 0.000 0.000 0.000  2.53
Sr 0.414 0.414 0.172  -0.02
Sr 0.586 0.586 0.828  -0.02

## Properties
- Volume: 184.71 Å³/cell
- Magnetization: 2.86 μB per cell

=====

Stability summary: most stable *A*, least stable *C*.

=====

*A*
Material: SrZn2Re
Method: DFT, GGA-PBE
State: optimized geometry

a b c (Å): 2.905 3.681 7.496
angles (deg): 90.00 90.00 90.00
Element x y z (fractional)
Re 0.000 0.000 0.429
Sr 0.500 0.500 0.736
Zn 0.000 0.000 0.068
Zn 0.500 0.500 0.267

## Properties
- Volume: 80.17 Å³/cell
- Magnetization: 0.00 μB per cell

=====

*B*
Material: SrZn2Re
Method: DFT, GGA-PBE
State: optimized geometry

a b c (Å): 5.090 7.003 2.875
angles (deg): 65.90 89.91 124.93
Element x y z (fractional)
Re 0.500 0.500 0.000
Sr 0.500 0.000 0.500
Zn 0.000 0.000 0.000
Zn 0.000 0.500 0.500

## Properties
- Volume: 72.80 Å³/cell
- Magnetization: 0.00 μB per cell

=====

*C*
Material: SrZn2Re
Method: DFT, GGA-PBE
State: optimized geometry

a b c (Å): 5.044 5.044 2.859
angles (deg): 90.00 90.00 90.00
Element x y z (fractional)
Re 0.500 0.000 0.500
Sr 0.000 0.500 0.500
Zn 0.000 0.000 0.000
Zn 0.500 0.500 0.000

## Properties
- Volume: 72.74 Å³/cell
- Magnetization: 0.00 μB per cell

=====

Stability summary: most stable *A*, least stable *C*.

=====

*A*
Material: SrZn2Re
Method: DFT, GGA-PBE
State: optimized geometry

a b c (Å): 3.926 2.903 7.319
angles (deg): 66.48 90.00 90.00
Element x y z (fractional)
Re 0.500 0.250 0.250
Sr 0.500 0.750 0.750
Zn 0.000 0.936 0.064
Zn 0.000 0.564 0.436

## Properties
- Volume: 76.49 Å³/cell
- Magnetization: 0.00 μB per cell

=====

*B*
Material: SrZn2Re
Method: DFT, GGA-PBE
State: optimized geometry

a b c (Å): 4.775 4.775 9.515
angles (deg): 75.47 75.47 90.00
Last column: magnetic moment on the atom in μB.
Element x y z (fractional)
Re 0.000 0.000 0.000  0.84
Re 0.750 0.250 0.500  0.84
Zn 0.812 0.125 0.250  -0.01
Zn 0.938 0.625 0.250  -0.01
Zn 0.375 0.188 0.750  -0.01
Zn 0.875 0.062 0.750  -0.01
Sr 0.500 0.500 0.000  0.00
Sr 0.250 0.750 0.500  0.00

## Properties
- Volume: 202.83 Å³/cell
- Magnetization: 1.83 μB per cell

=====

Stability summary: most stable *A*, least stable *B*.

=====

*A*
Material: SrZn2Re
Method: DFT, GGA-PBE
State: optimized geometry

a b c (Å): 4.253 2.911 6.758
angles (deg): 80.57 90.00 90.00
Element x y z (fractional)
Re 0.000 0.513 0.393
Sr 0.500 0.780 0.743
Zn 0.000 0.149 0.061
Zn 0.500 0.059 0.303

## Properties
- Volume: 82.55 Å³/cell
- Magnetization: 0.00 μB per cell

=====

*B*
Material: SrZn2Re
Method: DFT, GGA-PBE
State: optimized geometry

a b c (Å): 10.095 10.095 10.095
angles (deg): 16.66 16.66 16.66
Element x y z (fractional)
Re 0.250 0.250 0.250
Sr 0.750 0.750 0.750
Zn 0.989 0.989 0.989
Zn 0.511 0.511 0.511

## Properties
- Volume: 73.74 Å³/cell
- Magnetization: 0.00 μB per cell

=====

*C*
Material: SrZn2Re
Method: DFT, GGA-PBE
State: optimized geometry

a b c (Å): 4.826 4.826 4.826
angles (deg): 60.00 60.00 60.00
Last column: magnetic moment on the atom in μB.
Element x y z (fractional)
Re 0.500 0.500 0.500  0.82
Sr 0.750 0.750 0.750  0.00
Zn 0.000 0.000 0.000  -0.02
Zn 0.250 0.250 0.250  -0.02

## Properties
- Volume: 79.46 Å³/cell
- Magnetization: 0.88 μB per cell

=====

Stability summary: most stable *A*, least stable *C*.